# 1
The following is a DFT calculation (PBE) of a relaxed structure of SmErSe2.

M_tot = 0.011 μB per atom
Offset from the most stable computed form = 20 meV per atom

a = 4.0994 Å, b = 4.0994 Å, c = 5.8018 Å
α = 90.00°, β = 90.00°, γ = 90.00°
Element x y z (fractional)
Se 0.0000 0.0000 0.5000
Se 0.5000 0.5000 0.0000
Sm 0.0000 0.0000 0.0000
Er 0.5000 0.5000 0.5000

=====

# 2
The following is a DFT calculation (PBE) of a relaxed structure of SrErSe2.

M_tot = 0.002 μB per atom
Electronic total energy = -5.09 eV per atom

a = 4.2154 Å, b = 4.2154 Å, c = 5.9482 Å
α = 90.00°, β = 90.00°, γ = 90.00°
Element x y z (fractional)
Se 0.5000 0.5000 0.0000
Se 0.0000 0.0000 0.5000
Er 0.0000 0.0000 0.0000
Sr 0.5000 0.5000 0.5000

=====

# 3
The following is a DFT calculation (PBE) of a relaxed structure of Tb2ErSe3.

M_tot = 0.001 μB per atom
Electronic total energy = -5.79 eV per atom

a = 7.0295 Å, b = 7.0295 Å, c = 7.0295 Å
α = 146.26°, β = 131.76°, γ = 60.16°
Element x y z (fractional)
Tb 0.6698 0.6698 0.0000
Tb 0.3302 0.3302 0.0000
Se 0.8373 0.3373 0.5000
Se 0.5000 0.0000 0.5000
Se 0.1627 0.6627 0.5000
Er 0.0000 0.0000 0.0000

=====

# 4
The following is a DFT calculation (PBE) of a relaxed structure of Tb2ErSe3.

M_tot = 0.001 μB per atom
Electronic total energy = -5.79 eV per atom

a = 4.0583 Å, b = 4.0583 Å, c = 9.9924 Å
α = 90.00°, β = 90.00°, γ = 120.00°
Element x y z (fractional)
Er 0.0000 0.0000 0.5000
Se 0.3333 0.6667 0.6619
Se 0.0000 0.0000 0.0000
Se 0.6667 0.3333 0.3381
Tb 0.6667 0.3333 0.8329
Tb 0.3333 0.6667 0.1671

=====

# 5
The following is a DFT calculation (PBE) of a relaxed structure of TbEr2Se3.

M_tot = 0.001 μB per atom
Electronic total energy = -5.75 eV per atom

a = 6.9950 Å, b = 6.9950 Å, c = 6.9950 Å
α = 146.25°, β = 131.77°, γ = 60.16°
Element x y z (fractional)
Er 0.6630 0.6630 0.0000
Er 0.3370 0.3370 0.0000
Se 0.8292 0.3292 0.5000
Se 0.5000 0.0000 0.5000
Se 0.1708 0.6708 0.5000
Tb 0.0000 0.0000 0.0000

=====

# 6
The following is a DFT calculation (PBE) of a relaxed structure of TbEr2Se3.

M_tot = 0.001 μB per atom
Electronic total energy = -5.75 eV per atom

a = 4.0418 Å, b = 4.0418 Å, c = 9.9274 Å
α = 90.00°, β = 90.00°, γ = 120.00°
Element x y z (fractional)
Se 0.6667 0.3333 0.8284
Se 0.3333 0.6667 0.1716
Se 0.0000 0.0000 0.5000
Tb 0.0000 0.0000 0.0000
Er 0.3333 0.6667 0.6658
Er 0.6667 0.3333 0.3342

=====

# 7
The following is a DFT calculation (PBE) of a relaxed structure of TbErSe4.

M_tot = 0.001 μB per atom
Electronic total energy = -5.40 eV per atom

a = 5.1998 Å, b = 5.1998 Å, c = 7.5955 Å
α = 94.94°, β = 94.94°, γ = 50.90°
Element x y z (fractional)
Se 0.1168 0.1168 0.4533
Se 0.8833 0.8833 0.5528
Se 0.3668 0.3668 0.1553
Se 0.6333 0.6333 0.8392
Er 0.3216 0.3216 0.7818
Tb 0.6782 0.6782 0.2175

=====

# 8
The following is a DFT calculation (PBE) of a relaxed structure of Er3ThSe.

M_tot = 0.001 μB per atom
Electronic total energy = -5.29 eV per atom

a = 5.3830 Å, b = 5.3830 Å, c = 5.3830 Å
α = 90.00°, β = 90.00°, γ = 90.00°
Element x y z (fractional)
Se 0.5000 0.5000 0.5000
Er 0.5000 0.0000 0.5000
Er 0.0000 0.5000 0.5000
Er 0.5000 0.5000 0.0000
Th 0.0000 0.0000 0.0000

=====

# 9
The following is a DFT calculation (PBE) of a relaxed structure of Er4TmSe5.

M_tot = 0.001 μB per atom
Electronic total energy = -5.70 eV per atom

a = 16.4604 Å, b = 16.4604 Å, c = 16.4604 Å
α = 14.09°, β = 14.09°, γ = 14.09°
Element x y z (fractional)
Se 0.0000 0.0000 0.0000
Se 0.1996 0.1996 0.1996
Se 0.5998 0.5998 0.5998
Se 0.8004 0.8004 0.8004
Se 0.4002 0.4002 0.4002
Er 0.1002 0.1002 0.1002
Er 0.2999 0.2999 0.2999
Er 0.7001 0.7001 0.7001
Er 0.8998 0.8998 0.8998
Tm 0.5000 0.5000 0.5000

=====

# 10
The following is a DFT calculation (PBE) of a relaxed structure of Er2TmSe3.

M_tot = 0.001 μB per atom
Electronic total energy = -5.69 eV per atom

a = 3.9950 Å, b = 3.9950 Å, c = 9.9586 Å
α = 90.00°, β = 90.00°, γ = 120.00°
Element x y z (fractional)
Se 0.3333 0.6667 0.1661
Se 0.0000 0.0000 0.5000
Se 0.6667 0.3333 0.8339
Tm 0.0000 0.0000 0.0000
Er 0.3333 0.6667 0.6665
Er 0.6667 0.3333 0.3335

=====

# 11
The following is a DFT calculation (PBE) of a relaxed structure of Er6Tm2Se.

M_tot = 0.004 μB per atom
Electronic total energy = -4.77 eV per atom

a = 8.9900 Å, b = 8.9900 Å, c = 3.7049 Å
α = 90.00°, β = 90.00°, γ = 120.00°
Element x y z (fractional)
Tm 0.6667 0.3333 0.5000
Tm 0.3333 0.6667 0.5000
Er 0.7415 0.7415 0.5000
Er 0.6068 0.0000 0.0000
Er 0.2585 0.0000 0.5000
Er 0.3932 0.3932 0.0000
Er 0.0000 0.6068 0.0000
Er 0.0000 0.2585 0.5000
Se 0.0000 0.0000 0.0000

=====

# 12
The following is a DFT calculation (PBE) of a relaxed structure of Er5Tm3Se.

M_tot = 0.003 μB per atom
Electronic total energy = -4.77 eV per atom

a = 8.9864 Å, b = 8.9864 Å, c = 3.7038 Å
α = 90.00°, β = 90.00°, γ = 120.00°
Element x y z (fractional)
Er 0.3333 0.6667 0.5000
Er 0.6667 0.3333 0.5000
Er 0.2585 0.0000 0.5000
Er 0.7415 0.7415 0.5000
Er 0.0000 0.2585 0.5000
Tm 0.3930 0.3930 0.0000
Tm 0.0000 0.6070 0.0000
Tm 0.6070 0.0000 0.0000
Se 0.0000 0.0000 0.0000

=====

- Look up the M_tot of the ninth one.
  0.001 μB per atom

=====

- Look up the M_tot of the eighth one.
  0.001 μB per atom